Entry 1:
A plane-wave DFT calculation with PBE was carried out for PmErCoOs after structural relaxation.

abc: 6.8343 6.8343 6.8343
angles: 90.00 90.00 90.00
Space group F-43m (No. 216)
Symmetry-distinct sites (fractional):
Pm (0.0000, 0.0000, 0.0000)
Er (0.0000, 0.0000, 0.5000)
Co (0.2500, 0.2500, 0.7500)
Os (0.2500, 0.2500, 0.2500)

formation energy	-37.2	meV per atom
DOS(E_F)	1.24	states/eV per atom
magnetic moment	2.809	μB per cell
mass density	11.7	Mg/m³

Entry 2:
A plane-wave DFT calculation with PBE was carried out for DyNb2Fe9 after structural relaxation.

abc: 4.9122 4.9122 23.5774
angles: 90.00 90.00 120.00
Space group R-3m (No. 166, hexagonal axes)
Symmetry-distinct sites (fractional):
Dy (0.0000, 0.0000, 0.0000)
Nb (0.0000, 0.0000, 0.1437)
Fe (0.0000, 0.0000, 0.3333)
Fe (0.0000, 0.0000, 0.5000)
Fe (0.0033, 0.5017, 0.9137)

formation energy	-111.4	meV per atom
DOS(E_F)	0.90	states/eV per atom
magnetic moment	47.330	μB per cell
mass density	8.6	Mg/m³

Entry 3:
A plane-wave DFT calculation with PBE was carried out for Rb2HoCu2Te4 after structural relaxation.

abc: 15.9841 4.2840 8.8304
angles: 90.00 108.29 90.00
Space group C2/m (No. 12)
Symmetry-distinct sites (fractional):
Rb (0.1322, 0.0000, 0.0525)
Ho (0.0000, 0.0000, 0.5000)
Cu (0.1823, 0.5000, 0.4870)
Te (0.0233, 0.5000, 0.2702)
Te (0.2012, 0.0000, 0.6736)

raw total energy	-3.862	eV/atom
DOS(E_F)	0.45	states/eV per atom
magnetic moment	0.000	μB per cell
mass density	5.6	Mg/m³

Entry 4:
A plane-wave DFT calculation with PBE was carried out for KLiCo2Br8 after structural relaxation.

abc: 6.7351 6.7351 28.9477
angles: 90.00 90.00 120.00
Space group R-3 (No. 148, hexagonal axes)
Symmetry-distinct sites (fractional):
K (0.0000, 0.0000, 0.0000)
Li (0.0000, 0.0000, 0.5000)
Co (0.0000, 0.0000, 0.2483)
Br (0.0000, 0.0000, 0.3287)
Br (0.0009, 0.3302, 0.7762)

raw total energy	-3.246	eV/atom
DOS(E_F)	0.93	states/eV per atom
magnetic moment	24.056	μB per cell
mass density	3.5	Mg/m³

Entry 5:
A plane-wave DFT calculation with PBE was carried out for Li2BAs after structural relaxation.

abc: 3.4419 3.4419 16.9850
angles: 90.00 90.00 90.00
Space group I-42d (No. 122)
Symmetry-distinct sites (fractional):
Li (0.2304, 0.2500, 0.1250)
B (0.0000, 0.0000, 0.0000)
As (0.0000, 0.0000, 0.5000)

offset from the most stable computed form	0.0255	eV/atom
formation energy	336.2	meV per atom
DOS(E_F)	0.28	states/eV per atom
magnetic moment	0.000	μB per cell
mass density	3.3	Mg/m³

Entry 6:
A plane-wave DFT calculation with PBE was carried out for GdYErAg after structural relaxation.

abc: 7.5754 7.5754 7.5754
angles: 90.00 90.00 90.00
Space group F-43m (No. 216)
Symmetry-distinct sites (fractional):
Gd (0.0000, 0.0000, 0.0000)
Y (0.2500, 0.2500, 0.2500)
Er (0.2500, 0.2500, 0.7500)
Ag (0.0000, 0.0000, 0.5000)

formation energy	71.3	meV per atom
DOS(E_F)	1.68	states/eV per atom
magnetic moment	32.594	μB per cell
mass density	8.0	Mg/m³

Entry 7:
A plane-wave DFT calculation with PBE was carried out for CaLaHg2 after structural relaxation.

abc: 4.6648 4.6648 10.5724
angles: 90.00 90.00 90.00
Space group I-4m2 (No. 119)
Symmetry-distinct sites (fractional):
Ca (0.0000, 0.0000, 0.0000)
La (0.0000, 0.5000, 0.2500)
Hg (0.0000, 0.0000, 0.5000)
Hg (0.0000, 0.5000, 0.7500)

offset from the most stable computed form	0.2463	eV/atom
formation energy	-321.8	meV per atom
DOS(E_F)	1.39	states/eV per atom
magnetic moment	0.001	μB per cell
mass density	8.4	Mg/m³

Entry 8:
A plane-wave DFT calculation with PBE was carried out for TcRh3N after structural relaxation.

abc: 4.0740 4.0740 4.0740
angles: 90.00 90.00 90.00
Space group Pm-3m (No. 221)
Symmetry-distinct sites (fractional):
Tc (0.0000, 0.0000, 0.0000)
Rh (0.0000, 0.5000, 0.5000)
N (0.5000, 0.5000, 0.5000)

offset from the most stable computed form	0.0000	eV/atom
DOS(E_F)	1.15	states/eV per atom
magnetic moment	3.099	μB per cell
mass density	10.3	Mg/m³